BaMg2GaNi (PBE-GGA, optimized geometry); crystal system = tetragonal; ΔE_f = -0.216 eV per atom; total DFT energy (no corrections) = -3.000 eV/atom
1.0
5.022 0.000 0.000
0.000 5.022 0.000
0.000 0.000 4.762
Ba Mg Ga Ni
1 2 1 1
direct
0.000 0.000 0.000
0.000 0.500 0.500
0.500 0.000 0.500
0.500 0.500 0.000
0.500 0.500 0.500